[1]
A plane-wave DFT calculation with PBE-GGA was carried out for a geometry-optimized Mg2Ni2As structure.

a b c (Å): 8.0183 8.0183 8.0183
angles (deg): 156.16 156.16 33.97
Sites, in units of the cell vectors:
Mg 0.1122 0.1122 0.0000
Mg 0.8878 0.8878 0.0000
Ni 0.2500 0.7500 0.5000
Ni 0.7500 0.2500 0.5000
As 0.5000 0.5000 0.0000

Values from the calculation:
**DFT total energy**: -3.90 eV/atom
**Formation energy**: -0.02 eV/atom
**Total moment**: 0.048 μB/atom
**Distance to the lowest polymorph of the same formula**: 262 meV/atom
**N(E_F)**: 3.19 states/eV per cell

=====

[2]
A plane-wave DFT calculation with PBE-GGA was carried out for a geometry-optimized AlGeW structure.

a b c (Å): 4.8743 4.8743 5.0743
angles (deg): 103.62 103.62 119.99
Sites, in units of the cell vectors:
Al 0.0323 0.9677 0.7500
Al 0.9677 0.0323 0.2500
Ge 0.2930 0.7070 0.2500
Ge 0.7070 0.2930 0.7500
W 0.3729 0.6271 0.7500
W 0.6271 0.3729 0.2500

Values from the calculation:
**DFT total energy**: -7.12 eV/atom
**Formation energy**: -0.01 eV/atom
**Total moment**: 0.000 μB/atom
**Distance to the lowest polymorph of the same formula**: 68 meV/atom
**N(E_F)**: 3.85 states/eV per cell

=====

[3]
A plane-wave DFT calculation with PBE-GGA was carried out for a geometry-optimized TlCo2Br structure.

a b c (Å): 4.2714 3.2548 5.5835
angles (deg): 90.00 111.65 90.00
Sites, in units of the cell vectors:
Tl 0.0000 0.0000 0.0000
Co 0.0000 0.0000 0.5000
Co 0.5000 0.5000 0.0000
Br 0.5000 0.5000 0.5000

Values from the calculation:
**DFT total energy**: -3.86 eV/atom
**Total moment**: 0.797 μB/atom
**Raw formation energy**: 2.8 eV/f.u.
**Distance to the lowest polymorph of the same formula**: 360 meV/atom
**N(E_F)**: 5.21 states/eV per cell

=====

[4]
A plane-wave DFT calculation with PBE-GGA was carried out for a geometry-optimized CsFeMo3 structure.

a b c (Å): 4.7399 4.7399 4.7399
angles (deg): 90.00 90.00 90.00
Sites, in units of the cell vectors:
Cs 0.0000 0.0000 0.0000
Fe 0.5000 0.5000 0.5000
Mo 0.0000 0.5000 0.5000
Mo 0.5000 0.0000 0.5000
Mo 0.5000 0.5000 0.0000

Values from the calculation:
**DFT total energy**: -6.57 eV/atom
**Formation energy**: 1.79 eV/atom
**Total moment**: 0.676 μB/atom
**Distance to the lowest polymorph of the same formula**: 0 meV/atom
**N(E_F)**: 4.24 states/eV per cell

=====

[5]
A plane-wave DFT calculation with PBE-GGA was carried out for a geometry-optimized BaAlBiN2 structure.

a b c (Å): 4.6622 4.6622 6.5573
angles (deg): 90.00 90.00 90.00
Sites, in units of the cell vectors:
Ba 0.0000 0.0000 0.0000
Al 0.5000 0.5000 0.0000
Bi 0.0000 0.0000 0.5000
N 0.0000 0.5000 0.5000
N 0.5000 0.0000 0.5000

Values from the calculation:
**DFT total energy**: -3.69 eV/atom
**Total moment**: 0.253 μB/atom
**Raw formation energy**: 7.8 eV/f.u.
**N(E_F)**: 3.73 states/eV per cell

=====

[6]
A plane-wave DFT calculation with PBE-GGA was carried out for a geometry-optimized Te2PO structure.

a b c (Å): 9.2590 9.2590 9.2590
angles (deg): 19.60 19.60 19.60
Sites, in units of the cell vectors:
Te 0.0997 0.0997 0.0997
Te 0.9003 0.9003 0.9003
P 0.0000 0.0000 0.0000
O 0.5000 0.5000 0.5000

Values from the calculation:
**DFT total energy**: -3.75 eV/atom
**Total moment**: 0.000 μB/atom
**Raw formation energy**: 1.7 eV/f.u.
**Distance to the lowest polymorph of the same formula**: 321 meV/atom
**N(E_F)**: 2.26 states/eV per cell

=====

[7]
A plane-wave DFT calculation with PBE-GGA was carried out for a geometry-optimized Ca2FeTc structure.

a b c (Å): 2.8726 4.6825 6.0075
angles (deg): 90.00 90.00 90.00
Sites, in units of the cell vectors:
Ca 0.0000 0.0000 0.2479
Ca 0.0000 0.0000 0.7521
Fe 0.5000 0.5000 0.5000
Tc 0.5000 0.5000 0.0000

Values from the calculation:
**DFT total energy**: -4.94 eV/atom
**Formation energy**: 0.77 eV/atom
**Total moment**: 0.654 μB/atom
**Distance to the lowest polymorph of the same formula**: 420 meV/atom
**N(E_F)**: 4.10 states/eV per cell

=====

[8]
A plane-wave DFT calculation with PBE-GGA was carried out for a geometry-optimized CsHRuSe structure.

a b c (Å): 7.2105 7.2105 7.2105
angles (deg): 31.95 31.95 31.95
Sites, in units of the cell vectors:
Cs 0.0000 0.0000 0.0000
H 0.2727 0.2727 0.2727
Ru 0.4915 0.4915 0.4915
Se 0.1906 0.1906 0.1906

Values from the calculation:
**DFT total energy**: -3.95 eV/atom
**Total moment**: 0.000 μB/atom
**Distance to the lowest polymorph of the same formula**: 421 meV/atom
**N(E_F)**: 1.69 states/eV per cell

=====

Repeat the fourth record exactly.
A plane-wave DFT calculation with PBE-GGA was carried out for a geometry-optimized CsFeMo3 structure.

a b c (Å): 4.7399 4.7399 4.7399
angles (deg): 90.00 90.00 90.00
Sites, in units of the cell vectors:
Cs 0.0000 0.0000 0.0000
Fe 0.5000 0.5000 0.5000
Mo 0.0000 0.5000 0.5000
Mo 0.5000 0.0000 0.5000
Mo 0.5000 0.5000 0.0000

Values from the calculation:
**DFT total energy**: -6.57 eV/atom
**Formation energy**: 1.79 eV/atom
**Total moment**: 0.676 μB/atom
**Distance to the lowest polymorph of the same formula**: 0 meV/atom
**N(E_F)**: 4.24 states/eV per cell

=====

Repeat the eighth record exactly.
A plane-wave DFT calculation with PBE-GGA was carried out for a geometry-optimized CsHRuSe structure.

a b c (Å): 7.2105 7.2105 7.2105
angles (deg): 31.95 31.95 31.95
Sites, in units of the cell vectors:
Cs 0.0000 0.0000 0.0000
H 0.2727 0.2727 0.2727
Ru 0.4915 0.4915 0.4915
Se 0.1906 0.1906 0.1906

Values from the calculation:
**DFT total energy**: -3.95 eV/atom
**Total moment**: 0.000 μB/atom
**Distance to the lowest polymorph of the same formula**: 421 meV/atom
**N(E_F)**: 1.69 states/eV per cell

=====

What did the eighth record say?
A plane-wave DFT calculation with PBE-GGA was carried out for a geometry-optimized CsHRuSe structure.

a b c (Å): 7.2105 7.2105 7.2105
angles (deg): 31.95 31.95 31.95
Sites, in units of the cell vectors:
Cs 0.0000 0.0000 0.0000
H 0.2727 0.2727 0.2727
Ru 0.4915 0.4915 0.4915
Se 0.1906 0.1906 0.1906

Values from the calculation:
**DFT total energy**: -3.95 eV/atom
**Total moment**: 0.000 μB/atom
**Distance to the lowest polymorph of the same formula**: 421 meV/atom
**N(E_F)**: 1.69 states/eV per cell

=====

What did the second record say?
A plane-wave DFT calculation with PBE-GGA was carried out for a geometry-optimized AlGeW structure.

a b c (Å): 4.8743 4.8743 5.0743
angles (deg): 103.62 103.62 119.99
Sites, in units of the cell vectors:
Al 0.0323 0.9677 0.7500
Al 0.9677 0.0323 0.2500
Ge 0.2930 0.7070 0.2500
Ge 0.7070 0.2930 0.7500
W 0.3729 0.6271 0.7500
W 0.6271 0.3729 0.2500

Values from the calculation:
**DFT total energy**: -7.12 eV/atom
**Formation energy**: -0.01 eV/atom
**Total moment**: 0.000 μB/atom
**Distance to the lowest polymorph of the same formula**: 68 meV/atom
**N(E_F)**: 3.85 states/eV per cell